No. 1
A plane-wave DFT calculation with PBE was carried out for crystalline Na2NbTlBr8 at its relaxed geometry.

Properties
As for the total magnetic moment: 0.000 μB per atom. The uncorrected energy is -40.83 eV/f.u. The uncorrected formation energy is -1031 meV/atom.

a = 7.940 Å, b = 5.995 Å, c = 9.082 Å
α = 83.17°, β = 80.20°, γ = 96.34°
Fractional coordinates of all 12 atoms:
Nb 0.000 0.000 0.000
Na 0.488 0.784 0.332
Br 0.726 0.719 0.038
Br 0.614 0.743 0.609
Br 0.274 0.281 0.962
Br 0.118 0.748 0.199
Na 0.512 0.216 0.668
Br 0.386 0.257 0.391
Tl 0.000 0.000 0.500
Br 0.144 0.795 0.795
Br 0.882 0.252 0.801
Br 0.856 0.205 0.205


No. 2
A plane-wave DFT calculation with PBE was carried out for crystalline NaNbV2Br at its relaxed geometry.

Properties
As for the total magnetic moment: 0.000 μB per atom. The uncorrected energy is -25.99 eV/f.u. The uncorrected formation energy is 1062 meV/atom.

a = 4.639 Å, b = 5.712 Å, c = 4.639 Å
α = 90.00°, β = 90.00°, γ = 90.00°
Fractional coordinates of all 5 atoms:
Na 0.500 0.500 0.500
V 0.000 0.000 0.500
Br 0.000 0.500 0.000
V 0.500 0.000 0.000
Nb 0.000 0.000 0.000


No. 3
A plane-wave DFT calculation with PBE was carried out for crystalline NaNbWBr2 at its relaxed geometry.

Properties
As for the total magnetic moment: 0.878 μB per atom. The uncorrected energy is -19.94 eV/f.u. The uncorrected formation energy is 1550 meV/atom.

a = 4.933 Å, b = 5.997 Å, c = 4.933 Å
α = 90.00°, β = 90.00°, γ = 90.00°
Last column: magnetic moment on the atom in μB.
Fractional coordinates of all 5 atoms:
Na 0.000 0.500 0.000  0.02
Br 0.500 0.000 0.000  0.02
Br 0.000 0.000 0.500  0.02
W 0.000 0.000 0.000  -0.19
Nb 0.500 0.500 0.500  3.19


No. 4
A plane-wave DFT calculation with PBE was carried out for crystalline NaNdBr at its relaxed geometry.

Properties
As for the total magnetic moment: 0.341 μB per atom. The uncorrected energy is -9.81 eV/f.u. The uncorrected formation energy is -684 meV/atom.

a = 3.875 Å, b = 3.875 Å, c = 17.861 Å
α = 77.27°, β = 77.27°, γ = 59.97°
Last column: magnetic moment on the atom in μB.
Fractional coordinates of all 6 atoms:
Na 0.481 0.481 0.244  0.00
Br 0.471 0.471 0.770  0.02
Br 0.282 0.282 0.537  0.02
Nd 0.059 0.059 0.885  0.40
Nd 0.694 0.694 0.422  0.40
Na 0.273 0.273 0.063  0.00


No. 5
A plane-wave DFT calculation with PBE was carried out for crystalline NaNdBr6 at its relaxed geometry.

Properties
As for the total magnetic moment: 0.259 μB per atom. The uncorrected energy is -24.49 eV/f.u. The uncorrected formation energy is -1046 meV/atom.

a = 8.242 Å, b = 8.242 Å, c = 8.242 Å
α = 60.00°, β = 60.00°, γ = 60.00°
Last column: magnetic moment on the atom in μB.
Fractional coordinates of all 8 atoms:
Na 0.000 0.000 0.000  0.00
Br 0.253 0.747 0.253  0.25
Br 0.253 0.253 0.747  0.25
Nd 0.500 0.500 0.500  -0.03
Br 0.747 0.747 0.253  0.25
Br 0.253 0.747 0.747  0.25
Br 0.747 0.253 0.747  0.25
Br 0.747 0.253 0.253  0.25


No. 6
A plane-wave DFT calculation with PBE was carried out for crystalline Na2Nd2Br7 at its relaxed geometry.

Properties
As for the total magnetic moment: 0.091 μB per atom. The uncorrected energy is -41.29 eV/f.u. The uncorrected formation energy is -1582 meV/atom.

a = 7.281 Å, b = 7.720 Å, c = 7.720 Å
α = 71.68°, β = 86.44°, γ = 86.45°
Last column: magnetic moment on the atom in μB.
Fractional coordinates of all 11 atoms:
Nd 0.957 0.764 0.764  0.25
Br 0.758 0.575 0.575  0.00
Nd 0.043 0.236 0.236  0.25
Br 0.252 0.478 0.916  0.00
Br 0.252 0.916 0.478  0.00
Na 0.500 0.291 0.709  0.00
Br 0.748 0.084 0.522  0.00
Br 0.748 0.522 0.084  0.00
Na 0.500 0.709 0.291  0.00
Br 0.242 0.425 0.425  0.00
Br 0.000 0.000 0.000  0.00


No. 7
A plane-wave DFT calculation with PBE was carried out for crystalline NaNdBr2 at its relaxed geometry.

Properties
As for the total magnetic moment: 0.000 μB per atom. The uncorrected energy is -14.29 eV/f.u. The uncorrected formation energy is -1215 meV/atom.

a = 3.876 Å, b = 3.876 Å, c = 10.506 Å
α = 79.37°, β = 79.37°, γ = 60.00°
Fractional coordinates of all 4 atoms:
Br 0.100 0.100 0.700
Br 0.900 0.900 0.300
Nd 0.500 0.500 0.500
Na 0.000 0.000 0.000


No. 8
A plane-wave DFT calculation with PBE was carried out for crystalline Na6NdBr8 at its relaxed geometry.

Properties
As for the total magnetic moment: 0.058 μB per atom. The uncorrected energy is -48.95 eV/f.u. The uncorrected formation energy is -1526 meV/atom.

a = 8.622 Å, b = 8.622 Å, c = 8.622 Å
α = 60.00°, β = 60.00°, γ = 60.00°
Last column: magnetic moment on the atom in μB.
Fractional coordinates of all 15 atoms:
Nd 0.000 0.000 0.000  0.43
Br 0.250 0.250 0.250  0.00
Br 0.755 0.245 0.245  0.00
Br 0.245 0.755 0.245  0.00
Br 0.750 0.750 0.750  0.00
Na 0.500 0.000 0.500  0.00
Na 0.000 0.500 0.500  0.00
Br 0.245 0.755 0.755  0.00
Br 0.755 0.755 0.245  0.00
Na 0.500 0.000 0.000  0.00
Na 0.000 0.500 0.000  0.00
Br 0.245 0.245 0.755  0.00
Na 0.500 0.500 0.000  0.00
Br 0.755 0.245 0.755  0.00
Na 0.000 0.000 0.500  0.00


Copy entry 2 word for word.
A plane-wave DFT calculation with PBE was carried out for crystalline NaNbV2Br at its relaxed geometry.

Properties
As for the total magnetic moment: 0.000 μB per atom. The uncorrected energy is -25.99 eV/f.u. The uncorrected formation energy is 1062 meV/atom.

a = 4.639 Å, b = 5.712 Å, c = 4.639 Å
α = 90.00°, β = 90.00°, γ = 90.00°
Fractional coordinates of all 5 atoms:
Na 0.500 0.500 0.500
V 0.000 0.000 0.500
Br 0.000 0.500 0.000
V 0.500 0.000 0.000
Nb 0.000 0.000 0.000


Please write out number 7 again, unchanged.
A plane-wave DFT calculation with PBE was carried out for crystalline NaNdBr2 at its relaxed geometry.

Properties
As for the total magnetic moment: 0.000 μB per atom. The uncorrected energy is -14.29 eV/f.u. The uncorrected formation energy is -1215 meV/atom.

a = 3.876 Å, b = 3.876 Å, c = 10.506 Å
α = 79.37°, β = 79.37°, γ = 60.00°
Fractional coordinates of all 4 atoms:
Br 0.100 0.100 0.700
Br 0.900 0.900 0.300
Nd 0.500 0.500 0.500
Na 0.000 0.000 0.000